*i*
The following is a PBE-GGA calculation of a relaxed KRe3Te crystal, from Alexandria via LeMat-Bulk. Values from VASP.

Properties
* D(E_F): 5.28 states/eV/f.u.
* calculated volume: 24.83 Å³ per atom

The structure in Quantum ESPRESSO input format:
```
&SYSTEM
  ibrav = 0, nat = 5, ntyp = 3
/
ATOMIC_SPECIES
K 39.10 K.upf
Re 186.21 Re.upf
Te 127.60 Te.upf
CELL_PARAMETERS angstrom
4.989 0.000 0.000
0.000 4.989 0.000
0.000 0.000 4.989
ATOMIC_POSITIONS angstrom
K 0.000 0.000 0.000
Re 0.000 2.494 2.494
Re 2.494 0.000 2.494
Re 2.494 2.494 0.000
Te 2.494 2.494 2.494
```

---

*ii*
The following is a PBE-GGA calculation of a relaxed KRe3Te crystal, from Alexandria via LeMat-Bulk. Values from VASP.

Properties
* D(E_F): 6.11 states/eV/f.u.
* calculated volume: 20.28 Å³ per atom

The structure in Quantum ESPRESSO input format:
```
&SYSTEM
  ibrav = 0, nat = 5, ntyp = 3
/
ATOMIC_SPECIES
K 39.10 K.upf
Re 186.21 Re.upf
Te 127.60 Te.upf
CELL_PARAMETERS angstrom
4.663 0.000 0.000
0.000 4.663 0.000
0.000 0.000 4.663
ATOMIC_POSITIONS angstrom
K 0.000 0.000 0.000
Re 0.000 0.000 2.331
Re 0.000 2.331 0.000
Re 2.331 0.000 0.000
Te 2.331 2.331 2.331
```

---

Ranked by calculated energy, most stable first: *i*, *ii*.

---

*i*
The following is a PBE-GGA calculation of a relaxed KTi2Re crystal, from Alexandria via LeMat-Bulk. Values from VASP.

Properties
* D(E_F): 5.08 states/eV/f.u.
* calculated volume: 33.93 Å³ per atom

The structure in Quantum ESPRESSO input format:
```
&SYSTEM
  ibrav = 0, nat = 8, ntyp = 3
/
ATOMIC_SPECIES
K 39.10 K.upf
Ti 47.87 Ti.upf
Re 186.21 Re.upf
CELL_PARAMETERS angstrom
-3.077 3.077 7.168
3.077 -3.077 7.168
3.077 3.077 -7.168
ATOMIC_POSITIONS angstrom
K 3.077 1.539 1.792
K 0.000 1.539 5.376
Ti 0.000 0.000 0.000
Ti 1.539 1.539 -3.584
Ti 1.539 -1.539 3.584
Ti 0.000 3.077 0.000
Re 3.077 -1.539 5.376
Re 0.000 4.616 1.792
```

---

*ii*
The following is a PBE-GGA calculation of a relaxed KTi2Re crystal, from Alexandria via LeMat-Bulk. Values from VASP.

Properties
* D(E_F): 6.49 states/eV/f.u.
* calculated volume: 18.45 Å³ per atom

The structure in Quantum ESPRESSO input format:
```
&SYSTEM
  ibrav = 0, nat = 4, ntyp = 3
/
ATOMIC_SPECIES
K 39.10 K.upf
Ti 47.87 Ti.upf
Re 186.21 Re.upf
CELL_PARAMETERS angstrom
0.000 3.329 3.329
3.329 0.000 3.329
3.329 3.329 0.000
ATOMIC_POSITIONS angstrom
K 0.000 0.000 0.000
Ti 1.665 1.665 1.665
Ti 4.994 4.994 4.994
Re 3.329 3.329 3.329
```

---

Ranked by calculated energy, most stable first: *ii*, *i*.

---

*i*
The following is a PBE-GGA calculation of a relaxed KTiRe2 crystal, from Alexandria via LeMat-Bulk. Values from VASP.

Properties
* D(E_F): 4.72 states/eV/f.u.
* calculated volume: 21.86 Å³ per atom

The structure in Quantum ESPRESSO input format:
```
&SYSTEM
  ibrav = 0, nat = 8, ntyp = 3
/
ATOMIC_SPECIES
K 39.10 K.upf
Ti 47.87 Ti.upf
Re 186.21 Re.upf
CELL_PARAMETERS angstrom
-2.147 2.147 9.484
2.147 -2.147 9.484
2.147 2.147 -9.484
ATOMIC_POSITIONS angstrom
K 0.000 0.000 0.000
K 0.000 2.147 4.742
Ti 2.147 0.000 4.742
Ti 0.000 0.000 9.484
Re 1.074 1.535 -2.371
Re 2.759 1.074 2.371
Re 1.074 0.612 7.113
Re -0.612 1.074 11.855
```

---

*ii*
The following is a PBE-GGA calculation of a relaxed KTiRe2 crystal, from Alexandria via LeMat-Bulk. Values from VASP.

Properties
* D(E_F): 3.62 states/eV/f.u.
* calculated volume: 17.45 Å³ per atom

The structure in Quantum ESPRESSO input format:
```
&SYSTEM
  ibrav = 0, nat = 4, ntyp = 3
/
ATOMIC_SPECIES
K 39.10 K.upf
Ti 47.87 Ti.upf
Re 186.21 Re.upf
CELL_PARAMETERS angstrom
0.000 3.268 3.268
3.268 0.000 3.268
3.268 3.268 0.000
ATOMIC_POSITIONS angstrom
K 0.000 0.000 0.000
Ti 3.268 3.268 3.268
Re 1.634 1.634 1.634
Re 4.902 4.902 4.902
```

---

Ranked by calculated energy, most stable first: *i*, *ii*.

---

*i*
The following is a PBE-GGA calculation of a relaxed KTlRe2 crystal, from Alexandria via LeMat-Bulk. Values from VASP.

Properties
* D(E_F): 2.98 states/eV/f.u.
* calculated volume: 20.43 Å³ per atom

The structure in Quantum ESPRESSO input format:
```
&SYSTEM
  ibrav = 0, nat = 4, ntyp = 3
/
ATOMIC_SPECIES
K 39.10 K.upf
Tl 204.38 Tl.upf
Re 186.21 Re.upf
CELL_PARAMETERS angstrom
3.955 0.000 0.000
0.000 3.955 0.000
0.000 0.000 5.226
ATOMIC_POSITIONS angstrom
K 0.000 0.000 0.000
Tl 1.977 1.977 0.000
Re 0.000 1.977 2.613
Re 1.977 0.000 2.613
```

---

*ii*
The following is a PBE-GGA calculation of a relaxed KTlRe2 crystal, from Alexandria via LeMat-Bulk. Values from VASP.

Properties
* D(E_F): 2.48 states/eV/f.u.
* calculated volume: 19.20 Å³ per atom

The structure in Quantum ESPRESSO input format:
```
&SYSTEM
  ibrav = 0, nat = 4, ntyp = 3
/
ATOMIC_SPECIES
K 39.10 K.upf
Tl 204.38 Tl.upf
Re 186.21 Re.upf
CELL_PARAMETERS angstrom
0.000 3.374 3.374
3.374 0.000 3.374
3.374 3.374 0.000
ATOMIC_POSITIONS angstrom
K 0.000 0.000 0.000
Tl 1.687 1.687 1.687
Re 3.374 3.374 3.374
Re 5.061 5.061 5.061
```

---

Ranked by calculated energy, most stable first: *ii*, *i*.